The following is a DFT calculation (PBE-GGA) of crystalline LaReIr2F at its relaxed geometry.

Properties
Symmetry: P4/mmm
Electronic total energy, eV per atom: -7.063

```
LaReIr2F
1.0
-2.8945 1.1088 3.4674
-4.5013 -2.1337 -3.0752
0.6813 -4.1866 1.9075
Re F Ir La
1 1 2 1
Cartesian
0.0000 0.0000 0.0000 Re
-3.3572 -2.6057 1.1499 F
0.3407 -2.0933 0.9538 Ir
-1.4472 0.5544 1.7337 Ir
-2.2507 -1.0669 -1.5376 La
```